## Tm3AuSe2 (PBE-GGA)

Data for an optimized crystal structure of Tm3AuSe2.

Results
uncorrected formation energy = -1.387 eV/atom
volume = 576.0 Å³ per cell
total DFT energy (no corrections) = -127.930 eV/cell
Fermi-level density of states = 0.514 states/eV/atom

Cell: 7.0995 7.0995 12.7524 Å, 100.92 100.92 108.64°
With the nearest neighbours (Å) after each atom.
Element x y z (fractional)
Tm  0.0847  0.0809  0.6679  2 Au 2.86, 4 Se 2.88-2.92
Tm  0.0041  0.5041  0.5000  4 Se 2.87-2.88, 2 Au 2.87
Tm  0.7541  0.7541  0.0000  4 Se 2.87-2.88, 2 Au 2.87
Tm  0.9191  0.9153  0.3321  2 Au 2.86, 4 Se 2.88-2.92
Tm  0.3309  0.8347  0.1679  2 Au 2.86, 4 Se 2.88-2.92
Tm  0.4130  0.4168  0.3321  2 Au 2.86, 4 Se 2.88-2.92
Tm  0.1653  0.6691  0.8321  2 Au 2.86, 4 Se 2.88-2.92
Tm  0.2459  0.2459  0.0000  4 Se 2.87-2.88, 2 Au 2.87
Tm  0.6668  0.1630  0.8321  2 Au 2.86, 4 Se 2.88-2.92
Tm  0.5832  0.5870  0.6679  2 Au 2.86, 4 Se 2.88-2.92
Tm  0.4959  0.9959  0.5000  4 Se 2.87-2.88, 2 Au 2.87
Tm  0.8370  0.3332  0.1679  2 Au 2.86, 4 Se 2.88-2.92
Se  0.7486  0.7486  0.4972  6 Tm 2.88-2.91
Se  0.8309  0.3309  0.6618  6 Tm 2.87-2.92
Se  0.6691  0.1691  0.3382  6 Tm 2.87-2.92
Se  0.5809  0.5809  0.1618  6 Tm 2.87-2.92
Se  0.9986  0.4986  0.9972  6 Tm 2.88-2.91
Se  0.2514  0.2514  0.5028  6 Tm 2.88-2.91
Se  0.4191  0.4191  0.8382  6 Tm 2.87-2.92
Se  0.5014  0.0014  0.0028  6 Tm 2.88-2.91
Au  0.0839  0.0839  0.1677  6 Tm 2.86-2.87
Au  0.9161  0.9161  0.8323  6 Tm 2.86-2.87
Au  0.3339  0.8339  0.6677  6 Tm 2.86-2.87
Au  0.1661  0.6661  0.3323  6 Tm 2.86-2.87